Run i
Below is a relaxed structure of PmSbPb, with properties calculated at the PBE level.

The structure in CIF format:
```
data_PmSbPb
_cell_length_a 5.3215
_cell_length_b 5.3215
_cell_length_c 3.7023
_cell_angle_alpha 90.00
_cell_angle_beta 90.00
_cell_angle_gamma 120.00
_space_group_name_H-M_alt 'P 3 m 1'
_space_group_IT_number 156
_space_group_name_Hall 'P 3 -2"'
loop_
_atom_site_label
_atom_site_fract_x
_atom_site_fract_y
_atom_site_fract_z
_atom_site_occupancy
Pm1 0.0000 0.0000 0.0000 1
Sb1 0.3333 0.6667 0.5588 1
Pb1 0.6667 0.3333 0.4761 1
```

Values from the calculation:
crystal system	trigonal

=====

Run ii
Below is a relaxed structure of PmSbPb, with properties calculated at the PBE level.

The structure in CIF format:
```
data_PmSbPb
_cell_length_a 7.4618
_cell_length_b 7.4618
_cell_length_c 7.4618
_cell_angle_alpha 90.00
_cell_angle_beta 90.00
_cell_angle_gamma 90.00
_space_group_name_H-M_alt 'F -4 3 m'
_space_group_IT_number 216
_space_group_name_Hall 'F -4 2 3'
loop_
_atom_site_label
_atom_site_fract_x
_atom_site_fract_y
_atom_site_fract_z
_atom_site_occupancy
Pm1 0.0000 0.0000 0.0000 1
Sb1 0.2500 0.2500 0.7500 1
Pb1 0.0000 0.0000 0.5000 1
```

Values from the calculation:
crystal system	cubic

=====

Energies relative to the most stable structure, in meV/atom: run i 0; run ii 14.

=====

Run i
Below is a relaxed structure of Pm2ScPb, with properties calculated at the PBE level.

The structure in CIF format:
```
data_Pm2ScPb
_cell_length_a 7.7669
_cell_length_b 7.7669
_cell_length_c 7.7669
_cell_angle_alpha 90.00
_cell_angle_beta 90.00
_cell_angle_gamma 90.00
_space_group_name_H-M_alt 'F m -3 m'
_space_group_IT_number 225
_space_group_name_Hall '-F 4 2 3'
loop_
_atom_site_label
_atom_site_fract_x
_atom_site_fract_y
_atom_site_fract_z
_atom_site_occupancy
Pm1 0.2500 0.2500 0.2500 1
Sc1 0.0000 0.0000 0.0000 1
Pb1 0.0000 0.0000 0.5000 1
```

Values from the calculation:
crystal system	cubic

=====

Run ii
Below is a relaxed structure of Pm2ScPb, with properties calculated at the PBE level.

The structure in CIF format:
```
data_Pm2ScPb
_cell_length_a 4.2422
_cell_length_b 4.2422
_cell_length_c 6.5159
_cell_angle_alpha 90.00
_cell_angle_beta 90.00
_cell_angle_gamma 90.00
_space_group_name_H-M_alt 'P 4/m m m'
_space_group_IT_number 123
_space_group_name_Hall '-P 4 2'
loop_
_atom_site_label
_atom_site_fract_x
_atom_site_fract_y
_atom_site_fract_z
_atom_site_occupancy
Pm1 0.0000 0.0000 0.2410 1
Sc1 0.5000 0.5000 0.5000 1
Pb1 0.5000 0.5000 0.0000 1
```

Values from the calculation:
crystal system	tetragonal

=====

Run iii
Below is a relaxed structure of Pm2ScPb, with properties calculated at the PBE level.

The structure in CIF format:
```
data_Pm2ScPb
_cell_length_a 3.4334
_cell_length_b 3.4334
_cell_length_c 35.9262
_cell_angle_alpha 90.00
_cell_angle_beta 90.00
_cell_angle_gamma 120.00
_space_group_name_H-M_alt 'R -3 m'
_space_group_IT_number 166
_space_group_name_Hall '-R 3 2"'
loop_
_atom_site_label
_atom_site_fract_x
_atom_site_fract_y
_atom_site_fract_z
_atom_site_occupancy
Pm1 0.0000 0.0000 0.0892 1
Sc1 0.0000 0.0000 0.0000 1
Pb1 0.0000 0.0000 0.5000 1
```

Values from the calculation:
crystal system	trigonal

=====

Energies relative to the most stable structure, in meV/atom: run i 120; run ii 0; run iii 367.

=====

Run i
Below is a relaxed structure of Pm2ScPb, with properties calculated at the PBE level.

The structure in CIF format:
```
data_Pm2ScPb
_cell_length_a 3.5827
_cell_length_b 3.5827
_cell_length_c 32.8921
_cell_angle_alpha 90.00
_cell_angle_beta 90.00
_cell_angle_gamma 120.00
_space_group_name_H-M_alt 'R 3 m'
_space_group_IT_number 160
_space_group_name_Hall 'R 3 -2"'
loop_
_atom_site_label
_atom_site_fract_x
_atom_site_fract_y
_atom_site_fract_z
_atom_site_occupancy
Pm1 0.0000 0.0000 0.0000 1
Pm2 0.0000 0.0000 0.1647 1
Sc1 0.0000 0.0000 0.7490 1
Pb1 0.0000 0.0000 0.5824 1
```

Values from the calculation:
crystal system	trigonal

=====

Run ii
Below is a relaxed structure of Pm2ScPb, with properties calculated at the PBE level.

The structure in CIF format:
```
data_Pm2ScPb
_cell_length_a 4.8176
_cell_length_b 4.8176
_cell_length_c 4.8743
_cell_angle_alpha 90.00
_cell_angle_beta 90.00
_cell_angle_gamma 90.00
_space_group_name_H-M_alt 'P 4/m m m'
_space_group_IT_number 123
_space_group_name_Hall '-P 4 2'
loop_
_atom_site_label
_atom_site_fract_x
_atom_site_fract_y
_atom_site_fract_z
_atom_site_occupancy
Pm1 0.0000 0.5000 0.0000 1
Sc1 0.0000 0.0000 0.5000 1
Pb1 0.5000 0.5000 0.5000 1
```

Values from the calculation:
crystal system	tetragonal

=====

Energies relative to the most stable structure, in meV/atom: run i 172; run ii 0.

=====

Run i
Below is a relaxed structure of PmScPb, with properties calculated at the PBE level.

The structure in CIF format:
```
data_PmScPb
_cell_length_a 7.2502
_cell_length_b 7.2502
_cell_length_c 7.2502
_cell_angle_alpha 90.00
_cell_angle_beta 90.00
_cell_angle_gamma 90.00
_space_group_name_H-M_alt 'F -4 3 m'
_space_group_IT_number 216
_space_group_name_Hall 'F -4 2 3'
loop_
_atom_site_label
_atom_site_fract_x
_atom_site_fract_y
_atom_site_fract_z
_atom_site_occupancy
Pm1 0.0000 0.0000 0.0000 1
Sc1 0.0000 0.0000 0.5000 1
Pb1 0.2500 0.2500 0.2500 1
```

Values from the calculation:
crystal system	cubic

=====

Run ii
Below is a relaxed structure of PmScPb, with properties calculated at the PBE level.

The structure in CIF format:
```
data_PmScPb
_cell_length_a 4.9800
_cell_length_b 4.9800
_cell_length_c 4.0516
_cell_angle_alpha 90.00
_cell_angle_beta 90.00
_cell_angle_gamma 120.00
_space_group_name_H-M_alt 'P -6 m 2'
_space_group_IT_number 187
_space_group_name_Hall 'P -6 2'
loop_
_atom_site_label
_atom_site_fract_x
_atom_site_fract_y
_atom_site_fract_z
_atom_site_occupancy
Pm1 0.0000 0.0000 0.0000 1
Sc1 0.6667 0.3333 0.5000 1
Pb1 0.3333 0.6667 0.5000 1
```

Values from the calculation:
crystal system	hexagonal

=====

Run iii
Below is a relaxed structure of PmScPb, with properties calculated at the PBE level.

The structure in CIF format:
```
data_PmScPb
_cell_length_a 3.8630
_cell_length_b 3.8630
_cell_length_c 11.3363
_cell_angle_alpha 90.00
_cell_angle_beta 90.00
_cell_angle_gamma 90.00
_space_group_name_H-M_alt 'I 4 m m'
_space_group_IT_number 107
_space_group_name_Hall 'I 4 -2'
loop_
_atom_site_label
_atom_site_fract_x
_atom_site_fract_y
_atom_site_fract_z
_atom_site_occupancy
Pm1 0.0000 0.0000 0.0000 1
Sc1 0.0000 0.0000 0.3131 1
Pb1 0.0000 0.0000 0.6799 1
```

Values from the calculation:
crystal system	tetragonal

=====

Run iv
Below is a relaxed structure of PmScPb, with properties calculated at the PBE level.

The structure in CIF format:
```
data_PmScPb
_cell_length_a 4.5153
_cell_length_b 4.5153
_cell_length_c 8.4376
_cell_angle_alpha 90.00
_cell_angle_beta 90.00
_cell_angle_gamma 90.00
_space_group_name_H-M_alt 'P 4/n m m'
_space_group_IT_number 129
loop_
_space_group_symop_operation_xyz
'x,y,z'
'-x,-y,-z'
'-y+1/2,x,z'
'y+1/2,-x,-z'
'-x+1/2,-y+1/2,z'
'x+1/2,y+1/2,-z'
'y,-x+1/2,z'
'-y,x+1/2,-z'
'x+1/2,-y,-z'
'-x+1/2,y,z'
'-y,-x,-z'
'y,x,z'
'-x,y+1/2,-z'
'x,-y+1/2,z'
'y+1/2,x+1/2,-z'
'-y+1/2,-x+1/2,z'
loop_
_atom_site_label
_atom_site_fract_x
_atom_site_fract_y
_atom_site_fract_z
_atom_site_occupancy
Pm1 0.2500 0.2500 0.1558 1
Sc1 0.2500 0.7500 0.5000 1
Pb1 0.2500 0.2500 0.7589 1
```

Values from the calculation:
crystal system	tetragonal

=====

Energies relative to the most stable structure, in meV/atom: run i 284; run ii 173; run iii 211; run iv 0.